Record 1
Here is crystalline Pr4NiHg at its relaxed geometry from the Alexandria database. Energies are from PBE.

Calculated values
The energy above the most stable polymorph in this dataset is 0.148 eV/atom. Its calculated total energy is -51.9 eV for the cell shown. The space group is P2_1/c, No. 14. The value obtained for the energy of formation from the pure elements is -0.127 eV/atom.

a = 7.183 Å, b = 7.547 Å, c = 7.208 Å
α = 90.00°, β = 96.02°, γ = 90.00°
Atoms (fractional coordinates):
Pr  0.150  0.169  0.191
Pr  0.150  0.331  0.691
Pr  0.324  0.647  0.108
Pr  0.324  0.853  0.608
Pr  0.676  0.147  0.392
Pr  0.676  0.353  0.892
Pr  0.850  0.669  0.309
Pr  0.850  0.831  0.809
Ni  0.000  0.000  0.500
Ni  0.000  0.500  0.000
Hg  0.500  0.000  0.000
Hg  0.500  0.500  0.500


Record 2
Here is crystalline Pr6NiHg5 at its relaxed geometry from the Alexandria database. Energies are from PBE.

Calculated values
Its calculated total energy is -40.8 eV for the cell shown. The space group is Immm, No. 71. The value obtained for the energy of formation from the pure elements is -0.407 eV/atom.

a = 9.314 Å, b = 9.314 Å, c = 9.314 Å
α = 146.37°, β = 131.30°, γ = 60.48°
Atoms (fractional coordinates):
Pr  0.079  0.343  0.736
Pr  0.229  0.000  0.229
Pr  0.392  0.657  0.736
Pr  0.608  0.343  0.264
Pr  0.771  0.000  0.771
Pr  0.921  0.657  0.264
Ni  0.000  0.500  0.500
Hg  0.182  0.182  0.000
Hg  0.333  0.833  0.500
Hg  0.500  0.500  0.000
Hg  0.667  0.167  0.500
Hg  0.818  0.818  0.000


Record 3
Here is crystalline Pr4Ni2Hg5 at its relaxed geometry from the Alexandria database. Energies are from PBE.

Calculated values
Its calculated total energy is -36.6 eV for the cell shown. The space group is P2/m, No. 10. The value obtained for the energy of formation from the pure elements is -0.404 eV/atom.

a = 7.751 Å, b = 3.817 Å, c = 9.514 Å
α = 90.00°, β = 93.44°, γ = 90.00°
Atoms (fractional coordinates):
Pr  0.180  0.000  0.346
Pr  0.226  0.000  0.933
Pr  0.774  0.000  0.067
Pr  0.820  0.000  0.654
Ni  0.067  0.500  0.125
Ni  0.933  0.500  0.875
Hg  0.163  0.500  0.645
Hg  0.441  0.500  0.170
Hg  0.500  0.500  0.500
Hg  0.559  0.500  0.830
Hg  0.837  0.500  0.355


Record 4
Here is crystalline Pr2Ni9Hg at its relaxed geometry from the Alexandria database. Energies are from PBE.

Calculated values
Its calculated total energy is -63.2 eV for the cell shown. The space group is R-3m, No. 166. The value obtained for the energy of formation from the pure elements is -0.112 eV/atom.

a = 8.704 Å, b = 8.704 Å, c = 8.704 Å
α = 33.40°, β = 33.40°, γ = 33.40°
Atoms (fractional coordinates):
Pr  0.134  0.134  0.134
Pr  0.866  0.866  0.866
Ni  0.081  0.580  0.580
Ni  0.333  0.333  0.333
Ni  0.420  0.420  0.919
Ni  0.420  0.919  0.420
Ni  0.500  0.500  0.500
Ni  0.580  0.081  0.580
Ni  0.580  0.580  0.081
Ni  0.667  0.667  0.667
Ni  0.919  0.420  0.420
Hg  0.000  0.000  0.000


Record 5
Here is crystalline Pr5Ni2Hg2 at its relaxed geometry from the Alexandria database. Energies are from PBE.

Calculated values
Its calculated total energy is -77.6 eV for the cell shown. The space group is Cmce, No. 64. The value obtained for the energy of formation from the pure elements is -0.307 eV/atom.

a = 8.745 Å, b = 8.745 Å, c = 8.743 Å
α = 90.00°, β = 90.00°, γ = 48.13°
Atoms (fractional coordinates):
Pr  0.000  0.000  0.000
Pr  0.031  0.725  0.680
Pr  0.225  0.531  0.180
Pr  0.275  0.969  0.680
Pr  0.469  0.775  0.180
Pr  0.500  0.500  0.500
Pr  0.531  0.225  0.820
Pr  0.725  0.031  0.320
Pr  0.775  0.469  0.820
Pr  0.969  0.275  0.320
Ni  0.124  0.876  0.396
Ni  0.376  0.624  0.896
Ni  0.624  0.376  0.104
Ni  0.876  0.124  0.604
Hg  0.212  0.212  0.000
Hg  0.288  0.288  0.500
Hg  0.712  0.712  0.500
Hg  0.788  0.788  0.000


Record 6
Here is crystalline Pr8Ni2Hg at its relaxed geometry from the Alexandria database. Energies are from PBE.

Calculated values
Its calculated total energy is -51.1 eV for the cell shown. The space group is C2/m, No. 12. The value obtained for the energy of formation from the pure elements is -0.092 eV/atom.

a = 8.201 Å, b = 8.201 Å, c = 5.702 Å
α = 98.11°, β = 98.11°, γ = 116.03°
Atoms (fractional coordinates):
Pr  0.083  0.336  0.570
Pr  0.243  0.757  0.000
Pr  0.336  0.083  0.570
Pr  0.391  0.391  0.191
Pr  0.609  0.609  0.809
Pr  0.664  0.917  0.430
Pr  0.757  0.243  0.000
Pr  0.917  0.664  0.430
Ni  0.295  0.705  0.500
Ni  0.705  0.295  0.500
Hg  0.000  0.000  0.000


- Which of these has the lowest calculated total energy?
  Pr5Ni2Hg2


- Which value of calculated total energy does entry 3 give?
  -36.6 eV for the cell shown


- Which of these has the lowest energy of formation from the pure elements?
  Pr6NiHg5


- Number 1 is which compound?
  Pr4NiHg